A plane-wave DFT calculation with GGA-PBE was carried out for a relaxed MnBeTc2 crystal.

Values from the calculation:
energy of formation = 0.03 eV/atom
symmetry = No. 6
uncorrected energy = -0.3079 hartree per atom

Structure (POSCAR):
```
MnBeTc2
1.0
3.906 0.000 0.000
0.000 2.712 0.135
0.000 1.090 4.643
Tc Mn Be
2 1 1
Direct
0.000 0.961 0.950
0.500 0.280 0.309
0.500 0.563 0.764
0.000 0.696 0.476
```